Computed, not measured: a geometry-optimized Na2WF8 structure at the GGA+U level of DFT.

Total DFT energy (no corrections) = -52.892 eV for the cell shown

a b c (Å): 4.537 7.672 7.823
angles (deg): 80.14 128.99 121.79
Site moments in Bohr magnetons follow the coordinates.
Element x y z (fractional)
F  0.719  0.138  0.845  0.00
F  0.592  0.249  0.087  0.00
F  0.091  0.088  0.266  0.00
F  0.302  0.396  0.629  -0.08
F  0.281  0.862  0.155  0.00
F  0.909  0.912  0.734  0.00
F  0.698  0.604  0.371  -0.08
F  0.408  0.751  0.913  0.00
Na  0.202  0.598  0.381  0.00
Na  0.798  0.402  0.619  0.00
W  0.500  0.000  0.000  0.00